w.
The following is a PBE-GGA calculation of a relaxed BC2 crystal, from the Alexandria database.

Lattice parameters (Å, degrees): 4.5159 4.5362 4.6665 101.30 102.26 118.28
Sites, in units of the cell vectors:
B  0.9962  0.7228  0.1495
B  0.3480  0.6373  0.9815
B  0.8285  0.1649  0.5337
B  0.7311  0.0642  0.1063
C  0.1689  0.8387  0.5097
C  0.5021  0.4956  0.4968
C  0.3685  0.3610  0.1305
C  0.2213  0.5546  0.6048
C  0.6580  0.3378  0.9902
C  0.5296  0.2093  0.6313
C  0.0212  0.0017  0.9862
C  0.8766  0.8620  0.6293

DOS(E_F) = 0.1003 states/eV per atom
symmetry = P1


x.
The following is a PBE-GGA calculation of a relaxed BC2 crystal, from the Alexandria database.

Lattice parameters (Å, degrees): 6.1572 6.1572 3.6443 90.00 90.00 146.24
Sites, in units of the cell vectors:
B  0.1835  0.3165  0.2500
B  0.3333  0.6667  0.9652
B  0.8333  0.1667  0.5348
B  0.4832  0.0168  0.2500
C  0.1551  0.8356  0.5042
C  0.8333  0.6667  0.2500
C  0.5115  0.4978  0.5042
C  0.9838  0.5162  0.7500
C  0.6644  0.3449  0.9958
C  0.3333  0.1667  0.7500
C  0.0022  0.9885  0.9958
C  0.6828  0.8172  0.7500

DOS(E_F) = 0.3025 states/eV per atom
symmetry = C222


Pick x: it beats the second-best structure by 1.8 kJ/mol of atoms.


w.
The following is a PBE-GGA calculation of a relaxed Cu2TcNi crystal, from the Alexandria database.

Lattice parameters (Å, degrees): 2.5957 2.5957 7.3211 90.00 90.00 90.00
Sites, in units of the cell vectors:
Ni  0.0000  0.0000  0.4940
Tc  0.5000  0.5000  0.7391
Cu  0.0000  0.0000  0.0118
Cu  0.5000  0.5000  0.2551

DOS(E_F) = 0.8767 states/eV per atom
symmetry = P4mm


x.
The following is a PBE-GGA calculation of a relaxed Cu2TcNi crystal, from the Alexandria database.

Lattice parameters (Å, degrees): 2.5811 4.3753 4.4702 90.00 90.00 90.00
Site moments in Bohr magnetons follow the coordinates.
Sites, in units of the cell vectors:
Cu  0.0000  0.0000  0.0000  0.02
Cu  0.5000  0.5000  0.0000  0.03
Ni  0.5000  0.0000  0.5000  0.30
Tc  0.0000  0.5000  0.5000  0.49

DOS(E_F) = 0.9321 states/eV per atom
symmetry = Pmmm


Pick w: it beats the second-best structure by 17.9 kJ/mol of atoms.


w.
The following is a PBE-GGA calculation of a relaxed RbMnPt crystal, from the Alexandria database.

Lattice parameters (Å, degrees): 4.9393 4.9393 4.9393 60.00 60.00 60.00
Site moments in Bohr magnetons follow the coordinates.
Sites, in units of the cell vectors:
Mn  0.7500  0.7500  0.7500  4.35
Rb  0.2500  0.2500  0.2500  0.03
Pt  0.5000  0.5000  0.5000  0.26

DOS(E_F) = 1.0572 states/eV per atom
symmetry = F-43m


x.
The following is a PBE-GGA calculation of a relaxed RbMnPt crystal, from the Alexandria database.

Lattice parameters (Å, degrees): 6.0507 6.0507 9.6217 90.00 90.00 120.00
Site moments in Bohr magnetons follow the coordinates.
Sites, in units of the cell vectors:
Mn  0.0000  0.0000  0.2500  4.17
Mn  0.0000  0.0000  0.7500  4.17
Rb  0.3333  0.6667  0.2500  0.01
Rb  0.6667  0.3333  0.7500  0.01
Pt  0.0000  0.0000  0.0000  0.33
Pt  0.0000  0.0000  0.5000  0.33

DOS(E_F) = 0.9042 states/eV per atom
symmetry = P6_3/mmc


Pick w: it beats the second-best structure by 10.3 kJ/mol of atoms.